A plane-wave DFT calculation with GGA-PBE was carried out for GePd2Pb2 after structural relaxation.

Calculated values
Formation energy (eV per formula unit): 0.305
Magnetization (μB/f.u.): 0.0
Energy (eV per cell): -44.2

Cell: 8.123 8.123 3.339 Å, 90.00 90.00 90.00°
Space group P4/mbm (No. 127)
Inequivalent atoms, fractional coordinates:
Ge: 0.000 0.000 0.000 x2
Pd: 0.131 0.369 0.500 x4
Pb: 0.162 0.662 0.000 x4